Entry 1:
A plane-wave DFT calculation with GGA-PBE was carried out for crystalline SrAcAsPd at its relaxed geometry.

Output
The calculation puts the formation energy at -3.6 eV/f.u. The density comes out at 7.46 g/cm³. As for the raw total energy: -4.80 eV per atom.

POSCAR file:
```
SrAcAsPd
1.0
0.0000 3.8081 3.8081
3.8081 0.0000 3.8081
3.8081 3.8081 0.0000
Sr Ac As Pd
1 1 1 1
Cartesian
0.0000 0.0000 0.0000
3.8081 3.8081 3.8081
1.9041 1.9041 1.9041
5.7122 5.7122 5.7122
```

Entry 2:
A plane-wave DFT calculation with GGA-PBE was carried out for crystalline Ni3PdPt at its relaxed geometry.

Output
The calculation puts the formation energy at 0.1 eV/f.u. The polymorph energy (0 for the lowest one) comes out at 0.00 kJ/mol of atoms. The density comes out at 12.10 g/cm³. As for the raw total energy: -5.69 eV per atom.

POSCAR file:
```
Ni3PdPt
1.0
2.6746 0.0000 0.0000
-1.3220 4.2969 0.0000
-0.0325 -0.8904 11.4085
Ni Pd Pt
6 2 2
Cartesian
0.0025 0.6833 1.5504
-0.0131 0.7751 6.2105
0.0088 3.1165 0.4574
1.3112 0.2901 10.9511
1.3331 2.6315 5.1980
1.3174 2.7232 9.8581
0.0001 3.1065 7.3976
1.3199 0.3001 4.0109
-0.0230 0.7873 8.8047
1.3429 2.6193 2.6038
```

Entry 3:
A plane-wave DFT calculation with GGA-PBE was carried out for crystalline Ti7Pd3Pt at its relaxed geometry.

Output
The calculation puts the formation energy at -2.0 eV/f.u. The density comes out at 7.41 g/cm³. As for the raw total energy: -7.18 eV per atom.

POSCAR file:
```
Ti7Pd3Pt
1.0
-2.3487 4.4396 4.5651
2.3487 -4.4396 4.5651
2.3487 4.4396 -4.5651
Ti Pd Pt
7 3 1
Cartesian
0.0000 0.0000 0.0000
2.3487 -1.5317 2.4886
2.3487 2.6108 0.0000
2.3487 1.5317 2.4886
0.0000 2.9079 2.0764
0.0000 1.8287 4.5651
0.0000 5.9713 2.0764
0.0000 0.0000 2.6819
0.0000 4.4396 0.0000
0.0000 0.0000 6.4483
2.3487 0.0000 0.0000
```

Entry 4:
A plane-wave DFT calculation with GGA-PBE was carried out for crystalline K2NbReN4 at its relaxed geometry.

Output
The value obtained for the uncorrected formation energy is -304 kJ/mol of formula units. The density comes out at 4.72 g/cm³. As for the raw total energy: -7.65 eV per atom.

POSCAR file:
```
K2NbReN4
1.0
6.1825 0.0000 0.0000
0.0000 6.8728 0.0000
0.0000 0.0000 6.8409
K Nb Re N
4 2 2 8
Cartesian
1.5456 6.8717 1.4503
1.5456 3.4374 1.4503
4.6368 0.0011 5.3906
4.6368 3.4353 5.3906
1.5456 1.7182 4.5373
4.6368 5.1546 2.3035
1.5456 5.1546 4.5559
4.6368 1.7182 2.2850
0.0590 5.1546 3.4262
1.5456 3.5108 5.4896
1.5456 6.7983 5.4896
3.0322 5.1546 3.4262
3.1503 1.7182 3.4147
4.6368 0.0744 1.3513
4.6368 3.3619 1.3513
6.1234 1.7182 3.4147
```

Entry 5:
A plane-wave DFT calculation with GGA-PBE was carried out for crystalline KRb2LiAg at its relaxed geometry.

Output
The calculation puts the formation energy at 0.5 eV/f.u. The density comes out at 1.97 g/cm³. As for the raw total energy: -1.45 eV per atom.

POSCAR file:
```
KRb2LiAg
1.0
7.0986 0.0000 0.0000
0.0000 7.0986 0.0000
0.0000 0.0000 5.4332
K Rb Li Ag
1 2 1 1
Cartesian
0.0000 0.0000 0.0000
0.0000 3.5493 2.7166
3.5493 0.0000 2.7166
3.5493 3.5493 0.0000
3.5493 3.5493 2.7166
```

Entry 6:
A plane-wave DFT calculation with GGA-PBE was carried out for crystalline ReRuS3 at its relaxed geometry.

Output
The value obtained for the uncorrected formation energy is 470 kJ/mol of formula units. The polymorph energy (0 for the lowest one) comes out at 0.00 kJ/mol of atoms. The density comes out at 6.50 g/cm³. As for the raw total energy: -5.85 eV per atom.

POSCAR file:
```
ReRuS3
1.0
4.6088 0.0000 0.0000
0.0000 4.6088 0.0000
0.0000 0.0000 4.6088
Re Ru S
1 1 3
Cartesian
0.0000 0.0000 0.0000
2.3044 2.3044 2.3044
0.0000 0.0000 2.3044
0.0000 2.3044 0.0000
2.3044 0.0000 0.0000
```

Entry 7:
A plane-wave DFT calculation with GGA-PBE was carried out for crystalline BaTl2Co at its relaxed geometry.

Output
The calculation puts the formation energy at 1.2 eV/f.u. The density comes out at 8.40 g/cm³. As for the raw total energy: -3.14 eV per atom.

POSCAR file:
```
BaTl2Co
1.0
-2.3018 2.8878 4.4961
2.3018 -2.8878 4.4961
2.3018 2.8878 -4.4961
Ba Tl Co
1 2 1
Cartesian
0.0000 0.0000 0.0000
0.0000 0.0000 3.8988
0.0000 2.8878 1.8448
2.3018 0.0000 2.5663
```

Entry 8:
A plane-wave DFT calculation with GGA-PBE was carried out for crystalline MgIrRu2 at its relaxed geometry.

Output
The calculation puts the formation energy at 0.4 eV/f.u. The density comes out at 11.27 g/cm³. As for the raw total energy: -7.16 eV per atom.

POSCAR file:
```
MgIrRu2
1.0
-1.3941 2.2137 4.9986
1.3941 -2.2137 4.9986
1.3941 2.2137 -4.9986
Mg Ir Ru
1 1 2
Cartesian
0.0000 0.0000 0.0000
0.0000 0.0000 4.9986
1.3941 0.0000 2.7958
0.0000 2.2137 2.2028
```

Entry 9:
A plane-wave DFT calculation with GGA-PBE was carried out for crystalline TlBPd2 at its relaxed geometry.

Output
The calculation puts the formation energy at 0.8 eV/f.u. The polymorph energy (0 for the lowest one) comes out at 22.76 kJ/mol of atoms. The density comes out at 8.99 g/cm³. As for the raw total energy: -4.66 eV per atom.

POSCAR file:
```
TlBPd2
1.0
-2.8911 2.8911 4.7285
2.8911 -2.8911 4.7285
2.8911 2.8911 -4.7285
Tl B Pd
2 2 4
Cartesian
0.0000 0.0000 0.0000
0.0000 2.8911 2.3643
2.8911 0.0000 2.3643
0.0000 0.0000 4.7285
1.4455 -0.7842 3.5464
2.1069 1.4455 1.1821
1.4455 3.6752 -1.1821
0.7842 1.4455 5.9106
```

Entry 10:
A plane-wave DFT calculation with GGA-PBE was carried out for crystalline Na2H4W at its relaxed geometry.

Output
The density comes out at 4.95 g/cm³. As for the raw total energy: -4.01 eV per atom.

POSCAR file:
```
Na2H4W
1.0
-1.8092 1.8092 5.9897
1.8092 -1.8092 5.9897
1.8092 1.8092 -5.9897
Na H W
2 4 1
Cartesian
0.0000 0.0000 1.8329
0.0000 0.0000 10.1464
1.8092 0.0000 0.0000
0.0000 0.0000 4.1273
0.0000 1.8092 0.0000
0.0000 0.0000 7.8520
0.0000 0.0000 5.9897
```

Entry 11:
A plane-wave DFT calculation with GGA-PBE was carried out for crystalline Cs2TlRuI6 at its relaxed geometry.

Output
The value obtained for the uncorrected formation energy is -701 kJ/mol of formula units. The density comes out at 4.98 g/cm³. As for the raw total energy: -2.99 eV per atom.

POSCAR file:
```
Cs2TlRuI6
1.0
0.0000 6.0571 6.0571
6.0571 0.0000 6.0571
6.0571 6.0571 0.0000
Cs Tl Ru I
2 1 1 6
Cartesian
3.0286 3.0286 3.0286
9.0857 9.0857 9.0857
0.0000 0.0000 0.0000
6.0571 6.0571 6.0571
6.0571 6.0571 3.3267
6.0571 3.3267 6.0571
8.7876 6.0571 6.0571
3.3267 6.0571 6.0571
6.0571 8.7876 6.0571
6.0571 6.0571 8.7876
```

Entry 12:
A plane-wave DFT calculation with GGA-PBE was carried out for crystalline CrCo4Ag at its relaxed geometry.

Output
The calculation puts the formation energy at 1.9 eV/f.u. The density comes out at 8.52 g/cm³. As for the raw total energy: -6.49 eV per atom.

POSCAR file:
```
CrCo4Ag
1.0
0.0000 3.3779 3.3779
3.3779 0.0000 3.3779
3.3779 3.3779 0.0000
Cr Co Ag
1 4 1
Cartesian
0.0000 0.0000 0.0000
4.2248 2.5309 2.5309
2.5309 4.2248 2.5309
2.5309 2.5309 4.2248
4.2248 4.2248 4.2248
1.6889 1.6889 1.6889
```